Below is crystalline Cs2TlI2 at its relaxed geometry, with properties calculated at the PBE-GGA level.

Calculated total energy ... -23.268 eV per cell

```
Cs2TlI2
1.0
-10.2983 -3.2889 -1.7201
3.6000 -10.0856 -2.2695
-0.3627 -1.0850 4.2461
Cs I Tl
4 4 2
direct
0.3558 0.8558 0.0000
0.8558 0.6442 0.0000
0.6442 0.1442 0.0000
0.1442 0.3558 0.0000
0.1528 0.6528 0.5000
0.6528 0.8472 0.5000
0.8472 0.3472 0.5000
0.3472 0.1528 0.5000
0.0000 0.0000 0.0000
0.5000 0.5000 0.0000
```